Crystalline Tb2GaSi at its relaxed geometry, computed with PBE-GGA.

Summary:
Theoretical density, g/cm3: 7.45
E, Ry/atom: -0.3805
Formation energy from raw total energies, eV/atom: -0.749
N(E_F), states/eV/atom: 0.871

Cell: 5.8099 3.9686 8.4375 Å, 90.00 107.78 90.00°
Closest atoms and distances in Å follow each position.
Fractional positions:
Tb 0.2053 0.2500 0.4270  3 Si 3.01-3.19, 4 Ga 3.04-3.16
Tb 0.2846 0.7500 0.0680  4 Si 3.00-3.19, 3 Ga 3.04-3.18
Tb 0.7154 0.2500 0.9320  4 Si 3.00-3.19, 3 Ga 3.04-3.18
Tb 0.7947 0.7500 0.5730  3 Si 3.01-3.19, 4 Ga 3.04-3.16
Ga 0.3644 0.7500 0.7119  2 Si 2.56
Ga 0.6356 0.2500 0.2881  2 Si 2.56
Si 0.1398 0.2500 0.7887  2 Ga 2.56
Si 0.8602 0.7500 0.2113  2 Ga 2.56